Record 1
This record from the Alexandria database describes a relaxed structure of LiSeI2N. The functional is PBE.

Its energy above the most stable polymorph in this dataset is 624 meV per atom.

The structure belongs to space group P4/mmm (No. 123); the cell edges are 5.3825, 5.3825 and 3.7543 Å and the angles 90.00°, 90.00° and 90.00°. The inequivalent atoms are Li at (0.0000, 0.0000, 0.0000), Se at (0.5000, 0.5000, 0.5000), I at (0.0000, 0.5000, 0.0000) and N at (0.0000, 0.0000, 0.5000).

Record 2
This record from the Alexandria database describes a relaxed structure of Li2SeIN. The functional is PBE.

The structure belongs to space group P4/mmm (No. 123); the cell edges are 5.4368, 5.4368 and 4.0160 Å and the angles 90.00°, 90.00° and 90.00°. The inequivalent atoms are Li at (0.0000, 0.5000, 0.0000), Se at (0.0000, 0.0000, 0.5000), I at (0.5000, 0.5000, 0.0000) and N at (0.5000, 0.5000, 0.5000).

Record 3
This record from the Alexandria database describes a relaxed structure of LiSe2IN. The functional is PBE.

Its energy above the most stable polymorph in this dataset is 97 meV per atom.

The structure belongs to space group P4/mmm (No. 123); the cell edges are 5.0419, 5.0419 and 3.9617 Å and the angles 90.00°, 90.00° and 90.00°. The inequivalent atoms are Li at (0.0000, 0.0000, 0.0000), Se at (0.0000, 0.5000, 0.0000), I at (0.5000, 0.5000, 0.5000) and N at (0.0000, 0.0000, 0.5000).

Number 1: VASP energy -2.38 eV per atom. Number 2: VASP energy -2.96 eV per atom. Number 3: VASP energy -2.77 eV per atom.